Record 1
VASP calculation (PBE-GGA) on a relaxed structure of SiGeTeAs2.

Computed properties:
As for the raw formation energy: 2.82 eV/f.u. Its total energy is -3.933 eV/atom. The value obtained for the total magnetic moment is 0.00 μB per cell.

a b c (Å): 4.8280 4.9042 4.8280
angles (deg): 90.00 90.00 90.00
Sites, in units of the cell vectors:
1 As 0.0000 0.0000 0.5000
2 Te 0.5000 0.5000 0.5000
3 Si 0.0000 0.0000 0.0000
4 As 0.5000 0.0000 0.0000
5 Ge 0.0000 0.5000 0.0000

Record 2
VASP calculation (PBE-GGA) on a relaxed structure of ZnSiGe2As.

Computed properties:
As for the raw formation energy: 4.49 eV/f.u. Its total energy is -3.218 eV/atom. The value obtained for the total magnetic moment is 0.00 μB per cell.

a b c (Å): 4.8089 4.8085 4.8089
angles (deg): 90.00 90.00 90.00
Sites, in units of the cell vectors:
1 Zn 0.0000 0.0000 0.0000
2 Si 0.5000 0.5000 0.5000
3 Ge 0.0000 0.0000 0.5000
4 As 0.0000 0.5000 0.0000
5 Ge 0.5000 0.0000 0.0000

Record 3
VASP calculation (PBE-GGA) on a relaxed structure of ZnSiGe2As4.

Computed properties:
As for the raw formation energy: 0.05 eV/f.u. Its total energy is -4.310 eV/atom. The value obtained for the total magnetic moment is 0.00 μB per cell.

a b c (Å): 6.1536 6.1536 6.3305
angles (deg): 113.65 113.65 100.06
Sites, in units of the cell vectors:
1 As 0.1255 0.1255 0.7273
2 As 0.3716 0.8496 0.2211
3 Si 0.5114 0.5114 0.0228
4 Ge 0.7705 0.2705 0.5410
5 Zn 0.9995 0.9995 0.9989
6 Ge 0.2705 0.7705 0.5410
7 As 0.6018 0.6018 0.7273
8 As 0.8496 0.3716 0.2211